CuIrPbW | OQMD via LeMat-Bulk | PBE | relaxed; crystal system = cubic; total DFT energy (no corrections) = -26.47 eV per formula unit; space group = F-43m
1.0
0.000 3.228 3.228
3.228 0.000 3.228
3.228 3.228 0.000
Cu Ir Pb W
1 1 1 1
direct
0.750 0.750 0.750
0.250 0.250 0.250
0.000 0.000 0.000
0.500 0.500 0.500